(1)
{
  "formula": "Sm2SnO",
  "functional": "PBE-GGA",
  "state": "relaxed",
  "lattice_angstrom": [[4.607, 0.000, 0.000], [0.000, 4.607, 0.000], [0.000, 0.000, 9.045]],
  "species": ["Sm", "Sm", "Sm", "Sm", "Sn", "Sn", "O", "O"],
  "fractional_positions": [[0.250, 0.250, 0.165], [0.250, 0.750, 0.500], [0.750, 0.250, 0.500], [0.750, 0.750, 0.835], [0.250, 0.250, 0.799], [0.750, 0.750, 0.201], [0.250, 0.250, 0.423], [0.750, 0.750, 0.577]],
  "formation_energy_uncorrected_kj_per_mol_atoms": -178.6,
  "rho_g_cm3": 7.5,
  "e_above_lowest_polymorph_ev_per_atom": 0.000,
  "e_tot_ev_per_atom": -6.4504
}

***

(2)
{
  "formula": "K2RbPt2",
  "functional": "PBE-GGA",
  "state": "relaxed",
  "lattice_angstrom": [[9.712, 0.000, 0.000], [0.000, 9.712, 0.000], [0.000, 0.000, 3.039]],
  "species": ["K", "K", "K", "K", "Rb", "Rb", "Pt", "Pt", "Pt", "Pt"],
  "fractional_positions": [[0.122, 0.378, 0.000], [0.378, 0.878, 0.000], [0.622, 0.122, 0.000], [0.878, 0.622, 0.000], [0.000, 0.000, 0.500], [0.500, 0.500, 0.500], [0.175, 0.675, 0.500], [0.325, 0.175, 0.500], [0.675, 0.825, 0.500], [0.825, 0.325, 0.500]],
  "delta_e_f_mev_per_atom": 133,
  "rho_g_cm3": 6.4,
  "e_above_lowest_polymorph_ev_per_atom": 0.000,
  "e_tot_ev_per_atom": -2.9160
}